Record 1
A plane-wave DFT calculation with PBE was carried out for a relaxed Nb3V2Ge3 crystal.

VASP energy (Ry/atom): -0.606
Symmetry: P6_3/mcm (193)
Density of states at the Fermi level (states/eV/cell): 17.584

Geometry as POSCAR:
```
Nb3V2Ge3
1.0
7.540 0.000 0.000
-3.770 6.530 0.000
0.000 0.000 5.101
Nb V Ge
6 4 6
Cartesian
-0.908 1.572 1.275
-2.863 4.958 3.826
1.815 0.000 1.275
0.908 1.572 3.826
5.725 0.000 3.826
2.863 4.958 1.275
0.000 4.353 0.000
0.000 4.353 2.550
3.770 2.177 0.000
3.770 2.177 2.550
-1.516 2.625 3.826
-2.254 3.905 1.275
3.031 0.000 3.826
1.516 2.625 1.275
4.509 0.000 1.275
2.254 3.905 3.826
```



Record 2
A plane-wave DFT calculation with PBE was carried out for a relaxed LuAgPd2 crystal.

VASP energy (Ry/atom): -0.381
Symmetry: P4/mmm (123)
Density of states at the Fermi level (states/eV/cell): 1.129

Geometry as POSCAR:
```
LuAgPd2
1.0
4.261 0.000 0.000
0.000 4.261 0.000
0.000 0.000 3.883
Lu Ag Pd
1 1 2
Cartesian
0.000 0.000 0.000
2.130 2.130 0.000
0.000 2.130 1.941
2.130 0.000 1.941
```



Record 3
A plane-wave DFT calculation with PBE was carried out for a relaxed Sm2GaFe crystal.

VASP energy (Ry/atom): -0.353
Symmetry: R-3m (166)
Density of states at the Fermi level (states/eV/cell): 13.466

Geometry as POSCAR:
```
Sm2GaFe
1.0
3.343 0.000 0.000
-1.671 2.895 0.000
0.000 0.000 30.716
Sm Ga Fe
6 3 3
Cartesian
0.000 0.000 2.721
0.000 0.000 27.996
0.000 1.930 17.757
0.000 1.930 23.198
1.671 0.965 7.518
1.671 0.965 12.960
0.000 0.000 15.358
0.000 1.930 5.119
1.671 0.965 25.597
0.000 0.000 0.000
0.000 1.930 20.478
1.671 0.965 10.239
```



Record 4
A plane-wave DFT calculation with PBE was carried out for a relaxed BiI3N crystal.

VASP energy (Ry/atom): -0.184
Symmetry: Pm-3m (221)
Density of states at the Fermi level (states/eV/cell): 3.249

Geometry as POSCAR:
```
BiI3N
1.0
5.126 0.000 0.000
0.000 5.126 0.000
0.000 0.000 5.126
Bi I N
1 3 1
Cartesian
0.000 0.000 0.000
0.000 2.563 2.563
2.563 0.000 2.563
2.563 2.563 0.000
2.563 2.563 2.563
```



Record 5
A plane-wave DFT calculation with PBE was carried out for a relaxed Ca3Ta crystal.

VASP energy (Ry/atom): -0.287
Symmetry: P4/mmm (123)
Density of states at the Fermi level (states/eV/cell): 6.533

Geometry as POSCAR:
```
Ca3Ta
1.0
3.310 0.000 0.000
0.000 3.310 0.000
0.000 0.000 11.289
Ca Ta
3 1
Cartesian
0.000 0.000 0.000
1.655 1.655 3.315
1.655 1.655 7.974
0.000 0.000 5.645
```



Record 6
A plane-wave DFT calculation with PBE was carried out for a relaxed Sr3Li2Ga8 crystal.

VASP energy (Ry/atom): -0.196
Symmetry: R-3m (166)
Density of states at the Fermi level (states/eV/cell): 7.123

Geometry as POSCAR:
```
Sr3Li2Ga8
1.0
3.304 1.908 8.597
-3.304 1.908 8.597
0.000 -3.815 8.597
Sr Li Ga
3 2 8
Cartesian
0.000 0.000 0.000
0.000 0.000 6.182
0.000 0.000 19.608
0.000 0.000 11.856
0.000 0.000 13.935
-2.006 -1.158 14.090
0.000 -2.316 11.701
-2.006 1.158 11.701
0.000 0.000 9.429
0.000 0.000 16.361
2.006 -1.158 14.090
0.000 2.316 14.090
2.006 1.158 11.701
```



Record 7
A plane-wave DFT calculation with PBE was carried out for a relaxed LiMgBPt2 crystal.

VASP energy (Ry/atom): -0.364
Symmetry: P4/mmm (123)
Density of states at the Fermi level (states/eV/cell): 2.925

Geometry as POSCAR:
```
LiMgBPt2
1.0
4.163 0.000 0.000
0.000 4.163 0.000
0.000 0.000 4.173
Li Mg B Pt
1 1 1 2
Cartesian
0.000 0.000 0.000
2.082 2.082 0.000
0.000 0.000 2.086
0.000 2.082 2.086
2.082 0.000 2.086
```



Record 8
A plane-wave DFT calculation with PBE was carried out for a relaxed ReMo8 crystal.

VASP energy (Ry/atom): -0.809
Symmetry: I4/mmm (139)
Density of states at the Fermi level (states/eV/cell): 6.251

Geometry as POSCAR:
```
ReMo8
1.0
-4.730 4.730 1.584
4.730 -4.730 1.584
4.730 4.730 -1.584
Re Mo
1 8
Cartesian
0.000 0.000 0.000
3.147 0.000 0.000
6.314 0.000 0.000
0.000 3.147 0.000
3.156 3.156 0.000
1.574 -1.574 1.584
-1.574 1.574 1.584
1.574 1.574 1.584
0.000 6.314 0.000
```



no.,M_tot (μB/cell)
1,0.00
2,0.00
3,6.00
4,0.00
5,0.00
6,0.00
7,0.00
8,0.00